# 1
# MnBeSi

A crystal of MnBeSi relaxed with PBEsol (meta-GGA SCAN, the Alexandria database).

a b c (Å): 2.8314 2.8314 7.4634
angles (deg): 90.00 90.00 90.00
Space group I4mm (No. 107)
Inequivalent atoms, fractional coordinates:
Mn  0.0000  0.0000  0.0000
Be  0.0000  0.0000  0.3459
Si  0.0000  0.0000  0.6705

## Properties
calculated volume: 60 Å³ per cell
spin magnetization: 1.00 μB per formula unit
total DFT energy (no corrections): -66.78 eV per cell

# 2
# TaGaO4

A crystal of TaGaO4 relaxed with PBEsol (meta-GGA SCAN, the Alexandria database).

a b c (Å): 5.5689 9.2740 4.9589
angles (deg): 90.00 90.00 90.00
Space group Pna2_1 (No. 33)
Inequivalent atoms, fractional coordinates:
Ta  0.0821  0.1270  0.0000
Ga  0.0664  0.6210  0.9826
O  0.1235  0.7369  0.3136
O  0.1384  0.0090  0.6600
O  0.1405  0.5126  0.6552
O  0.1484  0.2409  0.3146

## Properties
calculated volume: 256 Å³ per cell
spin magnetization: 0.00 μB per formula unit
total DFT energy (no corrections): -494.28 eV per cell

# 3
# KIrPb

A crystal of KIrPb relaxed with PBEsol (meta-GGA SCAN, the Alexandria database).

a b c (Å): 3.3911 3.3911 12.9245
angles (deg): 90.00 90.00 90.00
Space group I4mm (No. 107)
Inequivalent atoms, fractional coordinates:
K  0.0000  0.0000  0.0000
Ir  0.0000  0.0000  0.6793
Pb  0.0000  0.0000  0.2852

## Properties
calculated volume: 149 Å³ per cell
spin magnetization: 0.00 μB per formula unit
E above lowest polymorph: 0.0000 eV/atom
total DFT energy (no corrections): -308.47 eV per cell

# 4
# YMnRu2

A crystal of YMnRu2 relaxed with PBEsol (meta-GGA SCAN, the Alexandria database).

a b c (Å): 6.3095 6.3095 6.3095
angles (deg): 90.00 90.00 90.00
Space group F-43m (No. 216)
Inequivalent atoms, fractional coordinates:
Y  0.0000  0.0000  0.0000
Mn  0.2500  0.2500  0.2500
Ru  0.0000  0.0000  0.5000
Ru  0.2500  0.2500  0.7500

## Properties
calculated volume: 251 Å³ per cell
spin magnetization: 2.39 μB per formula unit
total DFT energy (no corrections): -461.41 eV per cell

# 5
# Fe2CuBr

A crystal of Fe2CuBr relaxed with PBEsol (meta-GGA SCAN, the Alexandria database).

a b c (Å): 3.1368 4.1383 4.2153
angles (deg): 90.00 90.00 90.00
Space group Pmmm (No. 47)
Inequivalent atoms, fractional coordinates:
Fe  0.0000  0.0000  0.0000
Fe  0.5000  0.5000  0.0000
Cu  0.0000  0.5000  0.5000
Br  0.5000  0.0000  0.5000

## Properties
calculated volume: 55 Å³ per cell
spin magnetization: 6.04 μB per formula unit
total DFT energy (no corrections): -68.32 eV per cell

# 6
# SiWBr

A crystal of SiWBr relaxed with PBEsol (meta-GGA SCAN, the Alexandria database).

a b c (Å): 2.8864 3.9906 8.3929
angles (deg): 90.00 90.00 90.00
Space group Imm2 (No. 44)
Inequivalent atoms, fractional coordinates:
Si  0.0000  0.0000  0.0000
W  0.0000  0.0000  0.3521
Br  0.0000  0.0000  0.6816

## Properties
calculated volume: 97 Å³ per cell
spin magnetization: 0.00 μB per formula unit
total DFT energy (no corrections): -191.46 eV per cell

# 7
# Cs3NiS

A crystal of Cs3NiS relaxed with PBEsol (meta-GGA SCAN, the Alexandria database).

a b c (Å): 5.5651 5.5651 5.5651
angles (deg): 90.00 90.00 90.00
Space group Pm-3m (No. 221)
Inequivalent atoms, fractional coordinates:
Cs  0.0000  0.0000  0.5000
Ni  0.0000  0.0000  0.0000
S  0.5000  0.5000  0.5000

## Properties
calculated volume: 172 Å³ per cell
spin magnetization: 0.00 μB per formula unit
total DFT energy (no corrections): -138.93 eV per cell

# 8
# MgN2Cl

A crystal of MgN2Cl relaxed with PBEsol (meta-GGA SCAN, the Alexandria database).

a b c (Å): 4.4115 4.4115 10.7457
angles (deg): 90.00 90.00 90.00
Space group I-42d (No. 122)
Inequivalent atoms, fractional coordinates:
Mg  0.0000  0.0000  0.0000
N  0.2215  0.2500  0.6250
Cl  0.0000  0.0000  0.5000

## Properties
calculated volume: 209 Å³ per cell
spin magnetization: 0.00 μB per formula unit
E above lowest polymorph: 0.4153 eV/atom
total DFT energy (no corrections): -106.93 eV per cell

# 9
# Ag2MoO4

A crystal of Ag2MoO4 relaxed with PBEsol (meta-GGA SCAN, the Alexandria database).

a b c (Å): 9.2020 9.2020 9.2020
angles (deg): 90.00 90.00 90.00
Space group Fd-3m (No. 227, origin choice 2)
Inequivalent atoms, fractional coordinates:
Ag  0.0000  0.0000  0.0000
Mo  0.1250  0.1250  0.6250
O  0.0134  0.0134  0.7366

## Properties
calculated volume: 779 Å³ per cell
spin magnetization: 0.00 μB per formula unit
total DFT energy (no corrections): -1053.72 eV per cell

# 10
# Na4MgC6S6N6

A crystal of Na4MgC6S6N6 relaxed with PBEsol (meta-GGA SCAN, the Alexandria database).

a b c (Å): 8.5686 8.5686 13.7544
angles (deg): 90.00 90.00 120.00
Space group P-31c (No. 163)
Inequivalent atoms, fractional coordinates:
Na  0.0000  0.0000  0.0000
Na  0.3333  0.6667  0.0248
Na  0.3333  0.6667  0.7500
Mg  0.3333  0.6667  0.2500
C  0.0065  0.3439  0.6355
S  0.1573  0.3531  0.8911
N  0.1302  0.4686  0.1564

## Properties
calculated volume: 875 Å³ per cell
spin magnetization: 0.00 μB per formula unit
total DFT energy (no corrections): -411.13 eV per cell

# 11
# Li2AlHg

A crystal of Li2AlHg relaxed with PBEsol (meta-GGA SCAN, the Alexandria database).

a b c (Å): 3.3062 3.3062 5.8962
angles (deg): 90.00 90.00 90.00
Space group P4/mmm (No. 123)
Inequivalent atoms, fractional coordinates:
Li  0.0000  0.0000  0.2497
Al  0.5000  0.5000  0.0000
Hg  0.5000  0.5000  0.5000

## Properties
calculated volume: 64 Å³ per cell
spin magnetization: 0.00 μB per formula unit
total DFT energy (no corrections): -81.80 eV per cell

# 12
# HfCoPS2

A crystal of HfCoPS2 relaxed with PBEsol (meta-GGA SCAN, the Alexandria database).

a b c (Å): 4.3407 4.3407 4.2357
angles (deg): 90.00 90.00 90.00
Space group P4/mmm (No. 123)
Inequivalent atoms, fractional coordinates:
Hf  0.0000  0.0000  0.0000
Co  0.5000  0.5000  0.5000
P  0.5000  0.5000  0.0000
S  0.0000  0.5000  0.5000

## Properties
calculated volume: 80 Å³ per cell
spin magnetization: 0.00 μB per formula unit
E above lowest polymorph: 0.0000 eV/atom
total DFT energy (no corrections): -109.34 eV per cell

What is the spin magnetization in the second record? 0.00 μB per formula unit

total DFT energy (no corrections) of number 12 (HfCoPS2)? -109.34 eV per cell